Entry 1:
Here is an optimized crystal structure of NaPd2PbC from Alexandria via LeMat-Bulk. Energies are from PBE.

Fermi-level density of states = 2.75 states/eV/cell

```
data_NaPd2PbC
_chemical_formula_sum 'Na1 Pd2 Pb1 C1'
_symmetry_space_group_name_H-M 'P 1'
_symmetry_Int_Tables_number 1
_symmetry_space_group_name_Hall 'P 1'
_cell_length_a 4.819
_cell_length_b 4.266
_cell_length_c 4.819
_cell_angle_alpha 90.00
_cell_angle_beta 90.00
_cell_angle_gamma 90.00
loop_
_atom_site_label
_atom_site_fract_x
_atom_site_fract_y
_atom_site_fract_z
_atom_site_occupancy
Pb1 0.500 0.500 0.500 1
Na1 0.000 0.000 0.000 1
C1 0.000 0.500 0.000 1
Pd1 0.000 0.000 0.500 1
Pd2 0.500 0.000 0.000 1
```

***

Entry 2:
Here is an optimized crystal structure of Na2PtPbC from Alexandria via LeMat-Bulk. Energies are from PBE.

Fermi-level density of states = 2.89 states/eV/cell

```
data_Na2PtPbC
_chemical_formula_sum 'Na2 Pt1 Pb1 C1'
_symmetry_space_group_name_H-M 'P 1'
_symmetry_Int_Tables_number 1
_symmetry_space_group_name_Hall 'P 1'
_cell_length_a 5.583
_cell_length_b 4.148
_cell_length_c 5.583
_cell_angle_alpha 90.00
_cell_angle_beta 90.00
_cell_angle_gamma 90.00
loop_
_atom_site_label
_atom_site_fract_x
_atom_site_fract_y
_atom_site_fract_z
_atom_site_occupancy
Pb1 0.000 0.000 0.000 1
Na1 0.000 0.000 0.500 1
Na2 0.500 0.000 0.000 1
C1 0.000 0.500 0.000 1
Pt1 0.500 0.500 0.500 1
```

***

| no. | VASP energy (eV per cell) | ΔH_f (0 K) (kJ/mol of atoms) |
| --- | --- | --- |
| 1 | -16.9 | 149 |
| 2 | -14.2 | 143 |